1.
First-principles (PBE) data for crystalline Zr5Si3 at its relaxed geometry, as listed in Alexandria via LeMat-Bulk.

Results
* symmetry: I4/mcm, No. 140
* final energy: -130.8 eV for the cell shown
* energy above the most stable polymorph in this dataset: 24 meV per atom
* density: 5.8 g/cm3
* raw formation energy: -0.798 eV/atom

Cell: 7.008 7.008 7.975 Å, 116.07 116.07 90.00°
Fractional positions:
Zr1 0.000 0.000 0.000
Zr2 0.500 0.500 0.000
Zr3 0.519 0.019 0.705
Zr4 0.186 0.686 0.705
Zr5 0.686 0.519 0.705
Zr6 0.019 0.186 0.705
Zr7 0.481 0.981 0.295
Zr8 0.814 0.314 0.295
Zr9 0.314 0.481 0.295
Zr10 0.981 0.814 0.295
Si1 0.750 0.750 0.500
Si2 0.250 0.250 0.500
Si3 0.127 0.627 0.000
Si4 0.873 0.373 0.000
Si5 0.373 0.127 0.000
Si6 0.627 0.873 0.000

---

2.
First-principles (PBE) data for crystalline MnAlTe2I at its relaxed geometry, as listed in Alexandria via LeMat-Bulk.

Results
* symmetry: P4/mmm, No. 123
* final energy: -18.5 eV for the cell shown
* energy above the most stable polymorph in this dataset: 39 meV per atom
* density: 5.3 g/cm3
* raw formation energy: 0.455 eV/atom

Cell: 4.969 4.969 5.862 Å, 90.00 90.00 90.00°
Fractional positions:
I1 0.000 0.000 0.500
Te1 0.000 0.500 0.000
Te2 0.500 0.000 0.000
Al1 0.500 0.500 0.500
Mn1 0.000 0.000 0.000

---

3.
First-principles (PBE) data for crystalline Tb2Al9Fe3 at its relaxed geometry, as listed in Alexandria via LeMat-Bulk.

Results
* symmetry: C2/c, No. 15
* final energy: -148.3 eV for the cell shown
* density: 5.3 g/cm3
* energy relative to the elements: -40.2 kJ/mol of atoms

Cell: 7.445 7.445 10.408 Å, 89.77 110.78 120.65°
Each line ends with the local moment (μB).
Fractional positions:
Tb1 0.339 0.248 0.751  0.00
Tb2 0.661 0.752 0.249  0.00
Tb3 0.996 0.588 0.749  0.00
Tb4 0.004 0.412 0.251  0.00
Al1 0.455 0.919 0.748  0.00
Al2 0.545 0.081 0.252  0.00
Al3 0.671 0.708 0.752  0.00
Al4 0.329 0.292 0.248  0.00
Al5 0.454 0.644 0.930  0.00
Al6 0.546 0.356 0.070  0.00
Al7 0.214 0.524 0.570  0.00
Al8 0.786 0.476 0.430  0.00
Al9 0.888 0.138 0.750  0.01
Al10 0.112 0.862 0.250  0.01
Al11 0.136 0.987 0.955  0.00
Al12 0.864 0.013 0.045  0.00
Al13 0.533 0.181 0.545  0.00
Al14 0.467 0.819 0.455  0.00
Al15 0.875 0.858 0.565  0.00
Al16 0.125 0.142 0.435  0.00
Al17 0.793 0.310 0.935  0.00
Al18 0.207 0.690 0.065  0.00
Fe1 0.500 0.000 0.000  1.04
Fe2 0.500 0.500 0.500  1.04
Fe3 0.843 0.172 0.498  -0.54
Fe4 0.157 0.828 0.502  -0.54
Fe5 0.174 0.345 0.002  -0.54
Fe6 0.826 0.655 0.998  -0.54

---

4.
First-principles (PBE) data for crystalline LiHgIr2 at its relaxed geometry, as listed in Alexandria via LeMat-Bulk.

Results
* symmetry: I4/mmm, No. 139
* final energy: -19.0 eV for the cell shown
* density: 15.6 g/cm3
* energy relative to the elements: 23.0 kJ/mol of atoms

Cell: 5.142 5.142 5.142 Å, 136.83 136.83 62.70°
Each line ends with the local moment (μB).
Fractional positions:
Hg1 0.750 0.250 0.500  0.00
Ir1 0.000 0.000 0.000  0.21
Ir2 0.500 0.500 0.000  0.21
Li1 0.250 0.750 0.500  0.00

---

Number 1: total magnetic moment 0.0 μB per formula unit, volume 307 Å³/cell. Number 2: total magnetic moment 0.0 μB per formula unit, volume 145 Å³/cell. Number 3: total magnetic moment 0.0 μB per formula unit, volume 453 Å³/cell. Number 4: total magnetic moment 0.4 μB per formula unit, volume 63 Å³/cell.